VASP calculation (PBE) on an optimized crystal structure of Nd5HoCd4.

The structure in POSCAR format:
```
Nd5HoCd4
1.0
-1.7470 -2.4941 2.2808
3.3670 -1.5062 0.9319
1.5753 13.1934 15.6337
Nd Ho Cd
5 1 4
direct
0.5000 0.5000 0.1168
0.5000 0.5000 0.3089
0.5000 0.5000 0.5000
0.5000 0.5000 0.6911
0.5000 0.5000 0.8832
0.0000 0.0000 0.0000
0.0000 0.0000 0.2115
0.0000 0.0000 0.4042
0.0000 0.0000 0.5958
0.0000 0.0000 0.7885
```

Calculated values
Fermi-level density of states	1.2558	states/eV/atom
total magnetization	1.03	Bohr magnetons per cell
energy of formation	-23	kJ/mol of atoms



VASP calculation (PBE) on an optimized crystal structure of NaAc6In5.

The structure in POSCAR format:
```
NaAc6In5
1.0
5.6182 -0.0045 -1.5747
-4.2149 8.1631 -4.2505
-0.2147 -1.2025 10.0487
Na Ac In
1 6 5
direct
0.0000 0.0000 0.0000
0.2540 0.0830 0.4252
0.7460 0.5748 0.9170
0.7608 0.2610 0.2610
0.2392 0.7390 0.7390
0.2540 0.4252 0.0830
0.7460 0.9170 0.5748
0.5000 0.1565 0.8435
0.0000 0.3335 0.6666
0.5000 0.5000 0.5000
0.0000 0.6666 0.3335
0.5000 0.8435 0.1565
```

Calculated values
Fermi-level density of states	1.0541	states/eV/atom
total magnetization	0.00	Bohr magnetons per cell
energy of formation	-33	kJ/mol of atoms



VASP calculation (PBE) on an optimized crystal structure of Mg5Ga.

The structure in POSCAR format:
```
Mg5Ga
1.0
6.0524 -0.1409 0.0735
5.2064 3.0895 0.0735
1.6868 0.4418 6.7132
Mg Ga
5 1
direct
0.9983 0.9983 0.0352
0.3124 0.3124 0.3477
0.9578 0.9578 0.5751
0.6555 0.6555 0.6825
0.2875 0.2875 0.9300
0.6218 0.6218 0.2629
```

Calculated values
Fermi-level density of states	0.2879	states/eV/atom
distance to the lowest polymorph of the same formula	6.5	meV/atom
total magnetization	0.00	Bohr magnetons per cell
energy of formation	-5	kJ/mol of atoms



VASP calculation (PBE) on an optimized crystal structure of SmCd2Pb.

The structure in POSCAR format:
```
SmCd2Pb
1.0
4.9158 0.0000 0.0000
0.0000 4.5886 0.0000
0.0000 0.0000 4.5886
Pb Sm Cd
1 1 2
direct
0.5000 0.0000 0.0000
0.5000 0.5000 0.5000
0.0000 0.0000 0.5000
0.0000 0.5000 0.0000
```

Calculated values
Fermi-level density of states	0.3183	states/eV/atom
distance to the lowest polymorph of the same formula	0.0	meV/atom
total magnetization	0.00	Bohr magnetons per cell
energy of formation	-35	kJ/mol of atoms